1.
TiRePb2C: relaxed, PBEsol.

abc: 3.9253 4.7769 4.7769
angles: 90.00 90.00 90.00
Last column: nearest neighbours and their distance in Å.
Positions (direct):
Re1 0.5000 0.5000 0.5000  8 Pb 3.09, 4 Ti 3.38
Pb1 0.0000 0.5000 0.0000  2 C 2.39
Pb2 0.0000 0.0000 0.5000  2 C 2.39
Ti1 0.5000 0.0000 0.0000  2 C 1.96
C1 0.0000 0.0000 0.0000  2 Ti 1.96

Values from the calculation:
- theoretical density (g/cm³) = 12.2
- total moment (μB per atom) = 0.000
- energy relative to the elements (eV per atom) = 1.128

=====

2.
YNiPd2N: relaxed, PBEsol.

abc: 4.6506 4.9542 4.9542
angles: 90.00 90.00 90.00
Last column: nearest neighbours and their distance in Å.
Positions (direct):
Y1 0.0000 0.0000 0.0000  2 Ni 2.33, 4 Pd 2.48
N1 0.5000 0.5000 0.5000  8 Pd 3.40, 4 Ni 3.50
Ni1 0.5000 0.0000 0.0000  2 Y 2.33
Pd1 0.0000 0.5000 0.0000  2 Y 2.48
Pd2 0.0000 0.0000 0.5000  2 Y 2.48

Values from the calculation:
- theoretical density (g/cm³) = 5.4
- total moment (μB per atom) = 0.407
- formation energy (no corrections) (kJ per mole of atoms) = 200.0

=====

3.
TiTlZnN2: relaxed, PBEsol.

abc: 3.9233 3.9233 4.9444
angles: 90.00 90.00 90.00
Last column: nearest neighbours and their distance in Å.
Positions (direct):
Tl1 0.0000 0.0000 0.5000  2 Zn 2.47
Ti1 0.5000 0.5000 0.5000  4 Tl 2.77
Zn1 0.0000 0.0000 0.0000  4 N 1.96
N1 0.0000 0.5000 0.0000  2 Zn 1.96
N2 0.5000 0.0000 0.0000  2 Zn 1.96

Values from the calculation:
- theoretical density (g/cm³) = 7.5
- total moment (μB per atom) = 0.001
- formation energy (no corrections) (kJ per mole of atoms) = 135.5